a) # NaHf2Cl8

NaHf2Cl8 after structural relaxation (PBE-GGA, Alexandria via LeMat-Bulk).

The calculation puts the total moment at 0.99 μB/f.u.

a b c (Å): 8.740 8.740 5.042
angles (deg): 90.00 90.00 120.00
Element x y z (fractional)
Na  0.000  0.000  0.000
Hf  0.333  0.667  0.245
Hf  0.667  0.333  0.755
Cl  0.176  0.354  0.253
Cl  0.178  0.824  0.253
Cl  0.333  0.667  0.748
Cl  0.354  0.178  0.747
Cl  0.646  0.822  0.253
Cl  0.667  0.333  0.252
Cl  0.822  0.176  0.747
Cl  0.824  0.646  0.747

b) # NaHf2Cl8

NaHf2Cl8 after structural relaxation (PBE-GGA, Alexandria via LeMat-Bulk).

The calculation puts the total moment at 0.00 μB/f.u.

a b c (Å): 7.489 7.489 6.861
angles (deg): 95.70 95.70 56.98
Element x y z (fractional)
Na  0.000  0.000  0.000
Hf  0.255  0.255  0.498
Hf  0.745  0.745  0.502
Cl  0.106  0.620  0.678
Cl  0.150  0.150  0.770
Cl  0.363  0.363  0.246
Cl  0.380  0.894  0.322
Cl  0.620  0.106  0.678
Cl  0.637  0.637  0.754
Cl  0.850  0.850  0.230
Cl  0.894  0.380  0.322

Most stable: b)

a) # NaHf2Cl

NaHf2Cl after structural relaxation (PBE-GGA, Alexandria via LeMat-Bulk).

The calculation puts the total moment at 0.00 μB/f.u.

a b c (Å): 6.977 6.977 6.977
angles (deg): 90.00 90.00 90.00
Element x y z (fractional)
Na  0.000  0.000  0.000
Na  0.000  0.500  0.500
Na  0.500  0.000  0.500
Na  0.500  0.500  0.000
Hf  0.250  0.250  0.250
Hf  0.250  0.250  0.750
Hf  0.250  0.750  0.250
Hf  0.250  0.750  0.750
Hf  0.750  0.250  0.250
Hf  0.750  0.250  0.750
Hf  0.750  0.750  0.250
Hf  0.750  0.750  0.750
Cl  0.000  0.000  0.500
Cl  0.000  0.500  0.000
Cl  0.500  0.000  0.000
Cl  0.500  0.500  0.500

b) # NaHf2Cl

NaHf2Cl after structural relaxation (PBE-GGA, Alexandria via LeMat-Bulk).

The calculation puts the total moment at 0.00 μB/f.u.

a b c (Å): 3.969 3.969 25.557
angles (deg): 90.00 90.00 90.00
Element x y z (fractional)
Na  0.000  0.000  0.000
Na  0.000  0.500  0.250
Na  0.500  0.000  0.750
Na  0.500  0.500  0.500
Hf  0.248  0.250  0.625
Hf  0.250  0.748  0.875
Hf  0.250  0.752  0.375
Hf  0.252  0.250  0.125
Hf  0.748  0.750  0.125
Hf  0.750  0.248  0.375
Hf  0.750  0.252  0.875
Hf  0.752  0.750  0.625
Cl  0.000  0.000  0.500
Cl  0.000  0.500  0.750
Cl  0.500  0.000  0.250
Cl  0.500  0.500  0.000

Most stable: b)

a) # NaHfP2Cl

NaHfP2Cl after structural relaxation (PBE-GGA, Alexandria via LeMat-Bulk).

The calculation puts the total moment at 0.00 μB/f.u.

a b c (Å): 4.818 4.818 4.573
angles (deg): 90.00 90.00 90.00
Element x y z (fractional)
Na  0.000  0.000  0.000
Hf  0.500  0.500  0.500
P  0.000  0.500  0.000
P  0.500  0.000  0.000
Cl  0.000  0.000  0.500

b) # NaHfP2Cl

NaHfP2Cl after structural relaxation (PBE-GGA, Alexandria via LeMat-Bulk).

The calculation puts the total moment at 0.00 μB/f.u.

a b c (Å): 4.977 4.977 5.231
angles (deg): 90.00 90.00 90.00
Element x y z (fractional)
Na  0.000  0.000  0.000
Hf  0.500  0.500  0.500
P  0.000  0.500  0.500
P  0.500  0.000  0.500
Cl  0.500  0.500  0.000

Most stable: b)

a) # NaHfSCl2

NaHfSCl2 after structural relaxation (PBE-GGA, Alexandria via LeMat-Bulk).

The calculation puts the total moment at 0.00 μB/f.u.

a b c (Å): 5.015 5.015 4.956
angles (deg): 90.00 90.00 90.00
Element x y z (fractional)
Na  0.000  0.000  0.000
Hf  0.500  0.500  0.500
S  0.500  0.500  0.000
Cl  0.000  0.500  0.500
Cl  0.500  0.000  0.500

b) # NaHfSCl2

NaHfSCl2 after structural relaxation (PBE-GGA, Alexandria via LeMat-Bulk).

The calculation puts the total moment at 0.95 μB/f.u.

a b c (Å): 4.617 4.617 5.183
angles (deg): 90.00 90.00 90.00
Element x y z (fractional)
Na  0.000  0.000  0.000
Hf  0.500  0.500  0.500
S  0.000  0.000  0.500
Cl  0.000  0.500  0.000
Cl  0.500  0.000  0.000

Most stable: a)

a) # HfNb3Cl

HfNb3Cl after structural relaxation (PBE-GGA, Alexandria via LeMat-Bulk).

The calculation puts the total moment at 0.00 μB/f.u.

a b c (Å): 4.605 4.605 4.605
angles (deg): 90.00 90.00 90.00
Element x y z (fractional)
Hf  0.000  0.000  0.000
Nb  0.000  0.500  0.500
Nb  0.500  0.000  0.500
Nb  0.500  0.500  0.000
Cl  0.500  0.500  0.500

b) # HfNb3Cl

HfNb3Cl after structural relaxation (PBE-GGA, Alexandria via LeMat-Bulk).

The calculation puts the total moment at 0.00 μB/f.u.

a b c (Å): 5.028 5.028 5.028
angles (deg): 90.00 90.00 90.00
Element x y z (fractional)
Hf  0.000  0.000  0.000
Nb  0.000  0.000  0.500
Nb  0.000  0.500  0.000
Nb  0.500  0.000  0.000
Cl  0.500  0.500  0.500

Most stable: a)

a) # HfNbPCl2

HfNbPCl2 after structural relaxation (PBE-GGA, Alexandria via LeMat-Bulk).

The calculation puts the total moment at 1.85 μB/f.u.

a b c (Å): 4.681 4.681 5.171
angles (deg): 90.00 90.00 90.00
Element x y z (fractional)
Hf  0.000  0.000  0.000
Nb  0.500  0.500  0.500
P  0.500  0.500  0.000
Cl  0.000  0.500  0.500
Cl  0.500  0.000  0.500

b) # HfNbPCl2

HfNbPCl2 after structural relaxation (PBE-GGA, Alexandria via LeMat-Bulk).

The calculation puts the total moment at 3.57 μB/f.u.

a b c (Å): 4.811 4.811 5.212
angles (deg): 90.00 90.00 90.00
Element x y z (fractional)
Hf  0.000  0.000  0.000
Nb  0.500  0.500  0.500
P  0.000  0.000  0.500
Cl  0.000  0.500  0.000
Cl  0.500  0.000  0.000

Most stable: b)

a) # HfNbP2Cl

HfNbP2Cl after structural relaxation (PBE-GGA, Alexandria via LeMat-Bulk).

The calculation puts the total moment at 0.77 μB/f.u.

a b c (Å): 4.871 4.871 4.590
angles (deg): 90.00 90.00 90.00
Element x y z (fractional)
Hf  0.000  0.000  0.000
Nb  0.500  0.500  0.500
P  0.000  0.500  0.500
P  0.500  0.000  0.500
Cl  0.500  0.500  0.000

b) # HfNbP2Cl

HfNbP2Cl after structural relaxation (PBE-GGA, Alexandria via LeMat-Bulk).

The calculation puts the total moment at 2.64 μB/f.u.

a b c (Å): 5.005 5.005 4.738
angles (deg): 90.00 90.00 90.00
Element x y z (fractional)
Hf  0.000  0.000  0.000
Nb  0.500  0.500  0.500
P  0.000  0.500  0.000
P  0.500  0.000  0.000
Cl  0.000  0.000  0.500

Most stable: a)

a) # HfNbS2Cl

HfNbS2Cl after structural relaxation (PBE-GGA, Alexandria via LeMat-Bulk).

The calculation puts the total moment at 3.65 μB/f.u.

a b c (Å): 4.952 4.952 4.808
angles (deg): 90.00 90.00 90.00
Element x y z (fractional)
Hf  0.000  0.000  0.000
Nb  0.500  0.500  0.500
S  0.000  0.500  0.000
S  0.500  0.000  0.000
Cl  0.000  0.000  0.500

b) # HfNbS2Cl

HfNbS2Cl after structural relaxation (PBE-GGA, Alexandria via LeMat-Bulk).

The calculation puts the total moment at 2.16 μB/f.u.

a b c (Å): 4.811 4.811 4.742
angles (deg): 90.00 90.00 90.00
Element x y z (fractional)
Hf  0.000  0.000  0.000
Nb  0.500  0.500  0.500
S  0.000  0.500  0.500
S  0.500  0.000  0.500
Cl  0.500  0.500  0.000

Most stable: a)